Entry 1:
DFT (PBE) results for a relaxed structure of MgTa2Tc.

abc: 5.4497 5.4497 5.4497
angles: 145.44 129.88 62.30
Fractional coordinates of all 4 atoms:
Mg: 0.0000 0.0000 0.0000
Ta: 0.2731 0.7731 0.5000
Ta: 0.5388 0.5388 0.0000
Tc: 0.7558 0.2558 0.5000

Summary:
Total moment (μB/f.u.): 0.0
Crystal system: orthorhombic

***

Entry 2:
DFT (PBE) results for a relaxed structure of MgTa2Tc.

abc: 2.8026 4.5481 5.5339
angles: 90.00 101.38 90.00
Fractional coordinates of all 4 atoms:
Mg: 0.0000 0.0000 0.0000
Ta: 0.3955 0.0000 0.5207
Ta: 0.7010 0.5000 0.2582
Tc: 0.1962 0.5000 0.7433

Summary:
Total moment (μB/f.u.): 0.0
Crystal system: monoclinic

***

Entry 3:
DFT (PBE) results for a relaxed structure of MgTaTc.

abc: 5.4037 5.4037 5.4037
angles: 144.39 144.39 51.25
Fractional coordinates of all 3 atoms:
Mg: 0.0000 0.0000 0.0000
Ta: 0.3010 0.3010 0.0000
Tc: 0.6781 0.6781 0.0000

Summary:
Total moment (μB/f.u.): 0.0
Crystal system: tetragonal
Energy relative to the lowest polymorph listed for this composition (meV per atom): 0

***

Entry 4:
DFT (PBE) results for a relaxed structure of MgTa3Tc.

abc: 4.8320 4.8320 4.8320
angles: 90.00 90.00 90.00
Fractional coordinates of all 5 atoms:
Mg: 0.0000 0.0000 0.0000
Ta: 0.0000 0.5000 0.5000
Ta: 0.5000 0.0000 0.5000
Ta: 0.5000 0.5000 0.0000
Tc: 0.5000 0.5000 0.5000

Summary:
Total moment (μB/f.u.): 0.0
Crystal system: cubic
Energy relative to the lowest polymorph listed for this composition (meV per atom): 0

***

Let's list formation enthalpy at 0 K in order: 0.07; 0.09; 0.00; 1.04 eV/atom.